Entry from Alexandria via LeMat-Bulk: crystalline Ac3CePb2 at its relaxed geometry (PBE).

The formation enthalpy at 0 K is -0.07 eV/atom.

The space group is R-3c (No. 167, hexagonal axes) and the conventional cell measures 8.7866, 8.7866 and 22.5901 Å, with angles of 90.00, 90.00 and 120.00 degrees. The distinct sites, in fractional coordinates, are Ac at (0.0000, 0.2835, 0.2500), Ce at (0.0000, 0.0000, 0.0000) and Pb at (0.0000, 0.0000, 0.1437).

Entry from Alexandria via LeMat-Bulk: crystalline AcCe5Pb6 at its relaxed geometry (PBE).

The formation enthalpy at 0 K is -0.30 eV/atom.

The space group is C2/m (No. 12) and the conventional cell measures 7.9539, 13.8418 and 7.9969 Å, with angles of 90.00, 109.60 and 90.00 degrees. The distinct sites, in fractional coordinates, are Ac at (0.0000, 0.0000, 0.0000), Ce at (0.0000, 0.1597, 0.5000), Ce at (0.0000, 0.3314, 0.0000), Ce at (0.0000, 0.5000, 0.5000), Pb at (0.2338, 0.5000, 0.2528) and Pb at (0.2375, 0.3254, 0.7380).

Entry from Alexandria via LeMat-Bulk: crystalline Ac2CePb3 at its relaxed geometry (PBE).

The formation enthalpy at 0 K is -0.38 eV/atom. The calculation puts the energy above the most stable polymorph in this dataset at 64 meV/atom.

The space group is C2/c (No. 15) and the conventional cell measures 13.4045, 6.7733 and 10.8791 Å, with angles of 90.00, 113.96 and 90.00 degrees. The distinct sites, in fractional coordinates, are Ac at (0.1744, 0.0001, 0.0871), Ce at (0.0000, 0.4991, 0.2500), Pb at (0.0000, 0.0011, 0.7500) and Pb at (0.1415, 0.5002, 0.0708).

Entry from Alexandria via LeMat-Bulk: crystalline Ac2CePb at its relaxed geometry (PBE).

The formation enthalpy at 0 K is -0.19 eV/atom. The calculation puts the energy above the most stable polymorph in this dataset at 0 meV/atom.

The space group is P4/mmm (No. 123) and the conventional cell measures 5.2751, 5.2751 and 5.0775 Å, with angles of 90.00, 90.00 and 90.00 degrees. The distinct sites, in fractional coordinates, are Ac at (0.0000, 0.5000, 0.0000), Ce at (0.0000, 0.0000, 0.5000) and Pb at (0.5000, 0.5000, 0.5000).

Entry from Alexandria via LeMat-Bulk: crystalline Ac6CePb3 at its relaxed geometry (PBE).

The formation enthalpy at 0 K is -0.18 eV/atom.

The space group is Cmc2_1 (No. 36) and the conventional cell measures 11.6919, 17.1193 and 8.2353 Å, with angles of 90.00, 90.00 and 90.00 degrees. The distinct sites, in fractional coordinates, are Ac at (0.0000, 0.0445, 0.0000), Ac at (0.0000, 0.2846, 0.8688), Ac at (0.2126, 0.3046, 0.4877), Ac at (0.2195, 0.4638, 0.8295), Ce at (0.0000, 0.1749, 0.3132), Pb at (0.0000, 0.4405, 0.5522) and Pb at (0.1409, 0.1270, 0.6533).

Entry from Alexandria via LeMat-Bulk: crystalline AcCe3Pb5 at its relaxed geometry (PBE).

The formation enthalpy at 0 K is -0.34 eV/atom.

The space group is P6_3/mcm (No. 193) and the conventional cell measures 9.8327, 9.8327 and 6.8013 Å, with angles of 90.00, 90.00 and 120.00 degrees. The distinct sites, in fractional coordinates, are Ac at (0.0000, 0.0000, 0.0000), Ce at (0.0000, 0.3778, 0.2500), Pb at (0.0000, 0.3020, 0.7500) and Pb at (0.3333, 0.6667, 0.0000).

Entry from Alexandria via LeMat-Bulk: crystalline AcCe2Pb3 at its relaxed geometry (PBE).

The formation enthalpy at 0 K is -0.41 eV/atom. The calculation puts the energy above the most stable polymorph in this dataset at 7 meV/atom.

The space group is Cmmm (No. 65) and the conventional cell measures 5.2502, 15.6564 and 4.6339 Å, with angles of 90.00, 90.00 and 90.00 degrees. The distinct sites, in fractional coordinates, are Ac at (0.0000, 0.0000, 0.0000), Ce at (0.0000, 0.3313, 0.0000), Pb at (0.0000, 0.1726, 0.5000) and Pb at (0.0000, 0.5000, 0.5000).

Entry from Alexandria via LeMat-Bulk: crystalline Ac2Ce2Pb3 at its relaxed geometry (PBE).

The formation enthalpy at 0 K is -0.21 eV/atom. The calculation puts the energy above the most stable polymorph in this dataset at 146 meV/atom.

The space group is C2/m (No. 12) and the conventional cell measures 15.0774, 4.6262 and 8.3065 Å, with angles of 90.00, 99.27 and 90.00 degrees. The distinct sites, in fractional coordinates, are Ac at (0.1239, 0.0000, 0.3757), Ce at (0.1277, 0.5000, 0.8923), Pb at (0.0000, 0.0000, 0.0000) and Pb at (0.2421, 0.0000, 0.7570).

Entry from Alexandria via LeMat-Bulk: crystalline AcCe2Pb2 at its relaxed geometry (PBE).

The formation enthalpy at 0 K is -0.30 eV/atom. The calculation puts the energy above the most stable polymorph in this dataset at 0 meV/atom.

The space group is P6_3/mmc (No. 194) and the conventional cell measures 5.1728, 5.1728 and 14.3696 Å, with angles of 90.00, 90.00 and 120.00 degrees. The distinct sites, in fractional coordinates, are Ac at (0.3333, 0.6667, 0.2500), Ce at (0.3333, 0.6667, 0.5217) and Pb at (0.0000, 0.0000, 0.1214).

Entry from Alexandria via LeMat-Bulk: crystalline AcCePdPb at its relaxed geometry (PBE).

The formation enthalpy at 0 K is -0.44 eV/atom.

The space group is F-43m (No. 216) and the conventional cell measures 7.8127, 7.8127 and 7.8127 Å, with angles of 90.00, 90.00 and 90.00 degrees. The distinct sites, in fractional coordinates, are Ac at (0.0000, 0.0000, 0.0000), Ce at (0.0000, 0.0000, 0.5000), Pd at (0.2500, 0.2500, 0.7500) and Pb at (0.2500, 0.2500, 0.2500).

Entry from Alexandria via LeMat-Bulk: crystalline AcCe2Pd2Pb2 at its relaxed geometry (PBE).

The formation enthalpy at 0 K is -0.62 eV/atom.

The space group is R-3m (No. 166, hexagonal axes) and the conventional cell measures 4.7886, 4.7886 and 28.2054 Å, with angles of 90.00, 90.00 and 120.00 degrees. The distinct sites, in fractional coordinates, are Ac at (0.0000, 0.0000, 0.0000), Ce at (0.0000, 0.0000, 0.1444), Pd at (0.0000, 0.0000, 0.4464) and Pb at (0.0000, 0.0000, 0.2608).

Entry from Alexandria via LeMat-Bulk: crystalline AcCePrPb at its relaxed geometry (PBE).

The formation enthalpy at 0 K is -0.07 eV/atom.

The space group is F-43m (No. 216) and the conventional cell measures 8.0855, 8.0855 and 8.0855 Å, with angles of 90.00, 90.00 and 90.00 degrees. The distinct sites, in fractional coordinates, are Ac at (0.0000, 0.0000, 0.0000), Ce at (0.2500, 0.2500, 0.2500), Pr at (0.2500, 0.2500, 0.7500) and Pb at (0.0000, 0.0000, 0.5000).